[1]
Density functional theory data (GGA-PBE) for a relaxed CsNdAgBr6 crystal.

**SG**: C2 (5)

a = 7.8210 Å, b = 7.2640 Å, c = 8.1408 Å
α = 87.27°, β = 84.92°, γ = 57.43°
Last column: nearest neighbours and their distance in Å.
Sites, in units of the cell vectors:
Ag  0.3335  0.3326  0.5000  4 Br 2.64-2.65
Cs  0.0201  0.9603  0.0002  6 Br 3.69-3.72
Br  0.6010  0.0202  0.2941  1 Ag 2.64
Br  0.3784  0.0201  0.7058  1 Ag 2.64
Br  0.9909  0.3868  0.2523  1 Nd 2.82
Br  0.0012  0.6293  0.6749  1 Ag 2.65, 1 Nd 2.96
Br  0.6228  0.3860  0.7474  1 Nd 2.82
Br  0.3694  0.6293  0.3253  1 Ag 2.65, 1 Nd 2.96
Nd  0.6823  0.6354  0.5000  6 Br 2.82-2.98

---

[2]
Density functional theory data (GGA-PBE) for a relaxed CsNdAg2Br8 crystal.

**SG**: I-4 (82)

a = 7.2706 Å, b = 7.2706 Å, c = 9.6122 Å
α = 112.22°, β = 112.22°, γ = 90.00°
Last column: nearest neighbours and their distance in Å.
Sites, in units of the cell vectors:
Br  0.3634  0.9835  0.3868  1 Ag 2.61
Br  0.4795  0.3104  0.1885  1 Ag 2.70
Br  0.1219  0.5205  0.8115  1 Ag 2.70
Br  0.0234  0.4033  0.3868  1 Ag 2.61
Br  0.5967  0.6366  0.6132  1 Ag 2.61
Br  0.6896  0.2910  0.8115  1 Ag 2.70
Br  0.7090  0.8781  0.1885  1 Ag 2.70
Br  0.0165  0.9766  0.6132  1 Ag 2.61
Nd  0.7500  0.2500  0.5000  8 Br 2.99-3.09
Ag  0.2500  0.7500  0.5000  4 Br 2.61
Ag  0.5000  0.5000  0.0000  4 Br 2.70
Cs  0.0000  0.0000  0.0000  8 Br 3.56-3.70

---

[3]
Density functional theory data (GGA-PBE) for a relaxed CsNiAgBr6 crystal.

**SG**: P1 (1)

a = 6.8167 Å, b = 7.5729 Å, c = 7.9330 Å
α = 95.08°, β = 92.89°, γ = 56.33°
Last column: nearest neighbours and their distance in Å.
Sites, in units of the cell vectors:
Br  0.0250  0.5948  0.6915  1 Ni 2.41, 1 Ag 2.68
Br  0.0236  0.3809  0.3088  1 Ni 2.41, 1 Ag 2.68
Br  0.3469  0.6176  0.3375  1 Ag 2.61, 1 Ni 2.65
Br  0.3474  0.0352  0.6626  1 Ag 2.61, 1 Ni 2.65
Br  0.6125  0.0561  0.3078  1 Ni 2.38
Br  0.6142  0.3302  0.6914  1 Ni 2.38
Cs  0.0442  0.9780  0.0002  6 Br 3.65-3.68
Ag  0.6535  0.6736  0.5001  4 Br 2.61-2.68
Ni  0.3324  0.3336  0.4999  6 Br 2.38-2.65

---

[4]
Density functional theory data (GGA-PBE) for a relaxed Cs3Ni2AgBr9 crystal.

**SG**: P-3m1 (164)

a = 7.4983 Å, b = 7.4983 Å, c = 9.2221 Å
α = 90.00°, β = 90.00°, γ = 120.00°
Last column: nearest neighbours and their distance in Å.
Sites, in units of the cell vectors:
Br  0.8245  0.6490  0.6815  1 Ni 2.50
Br  0.6490  0.8245  0.3185  1 Ni 2.50
Br  0.3510  0.1755  0.6815  1 Ni 2.50
Br  0.5000  0.0000  0.0000  2 Ni 2.64
Br  0.1755  0.3510  0.3185  1 Ni 2.50
Br  0.1755  0.8245  0.3185  1 Ni 2.50
Br  0.0000  0.5000  0.0000  2 Ni 2.64
Br  0.8245  0.1755  0.6815  1 Ni 2.50
Br  0.5000  0.5000  0.0000  2 Ni 2.64
Ni  0.3333  0.6667  0.1637  6 Br 2.50-2.64
Ni  0.6667  0.3333  0.8363  6 Br 2.50-2.64
Cs  0.6667  0.3333  0.3343  12 Br 3.75-3.80
Cs  0.0000  0.0000  0.0000  12 Br 3.72-3.75
Cs  0.3333  0.6667  0.6657  12 Br 3.75-3.80
Ag  0.0000  0.0000  0.5000  6 Br 2.83

---

| no. | raw formation energy (eV/atom) | calculated volume (Å³ per cell) |
| --- | --- | --- |
| 1 | -1.300 | 388 |
| 2 | -0.942 | 429 |
| 3 | -0.549 | 339 |
| 4 | -0.876 | 449 |